Fe3Se after structural relaxation. Source: the Alexandria database, functional GGA-PBE.

abc: 3.184 3.198 5.279
angles: 90.00 90.00 90.00
Fractional positions:
Fe (0.000, 0.000, 0.000)
Fe (0.500, 0.500, 0.238)
Fe (0.500, 0.500, 0.762)
Se (0.000, 0.000, 0.500)

Summary:
SG = Pmmm (47)
energy relative to the elements, uncorrected = 0.16 eV per atom

---

MnHgI3 after structural relaxation. Source: the Alexandria database, functional GGA-PBE.

abc: 7.647 7.925 8.439
angles: 102.29 101.42 107.57
Fractional positions:
Mn (0.000, 0.000, 0.000)
Mn (0.072, 0.790, 0.018)
Hg (0.721, 0.375, 0.236)
Hg (0.956, 0.656, 0.508)
I (0.259, 0.856, 0.323)
I (0.271, 0.746, 0.810)
I (0.294, 0.299, 0.111)
I (0.766, 0.007, 0.181)
I (0.771, 0.497, 0.915)
I (0.830, 0.954, 0.692)

Summary:
SG = P1 (1)
energy relative to the elements, uncorrected = -0.12 eV per atom

---

LaCeHg after structural relaxation. Source: the Alexandria database, functional GGA-PBE.

abc: 5.134 5.134 3.739
angles: 90.00 90.00 120.00
Fractional positions:
La (0.000, 0.000, 0.000)
Ce (0.333, 0.667, 0.669)
Hg (0.667, 0.333, 0.355)

Summary:
SG = P3m1 (156)
formation energy from the elements = -0.157 eV per atom

---

GePdPt2 after structural relaxation. Source: the Alexandria database, functional GGA-PBE.

abc: 4.950 4.950 4.950
angles: 50.81 50.81 50.81
Fractional positions:
Ge (0.000, 0.000, 0.000)
Pd (0.808, 0.808, 0.808)
Pt (0.366, 0.366, 0.366)
Pt (0.583, 0.583, 0.583)

Summary:
SG = R3m (160)
formation energy from the elements = -0.225 eV per atom